DFT (PBE) results for crystalline CaLaAg2 at its relaxed geometry.

The energy of formation comes out at -0.0895 eV/atom. For the polymorph energy (0 for the lowest one), the calculation gives 224 meV per atom. The volume is 24.36 Å³/atom. The value obtained for the uncorrected energy is -3.25 eV/atom. As for the crystal system: cubic.

Cell lengths 7.3050, 7.3050, 7.3050 Å; angles 90.00, 90.00, 90.00 degrees
Last column: nearest neighbours and their distance in Å.
Space group F-43m (No. 216)
Symmetry-distinct sites (fractional):
1 Ca 0.0000 0.0000 0.0000 (multiplicity 4)  4 Ag 3.16, 4 La 3.16
2 La 0.2500 0.2500 0.7500 (multiplicity 4)  4 Ca 3.16, 4 Ag 3.16
3 Ag 0.0000 0.0000 0.5000 (multiplicity 4)  4 La 3.16, 4 Ag 3.16
4 Ag 0.2500 0.2500 0.2500 (multiplicity 4)  4 Ca 3.16, 4 Ag 3.16